# TePBr2

A crystal of TePBr2 relaxed with PBEsol (meta-GGA SCAN, the Alexandria database).

Cell and atoms, written as POSCAR:
```
TePBr2
1.0
4.014 0.000 0.000
0.000 4.013 0.000
0.000 0.000 7.247
Br P Te
2 1 1
direct
0.000 0.000 0.936
0.500 0.500 0.295
0.000 0.000 0.624
0.500 0.500 0.644
```

Summary:
Energy, eV for the cell shown: -86.656
Space group: No. 99
Relative energy among the computed polymorphs, meV/atom: 39
Density of states at the Fermi level, states/eV/f.u.: 0.849
E_form (uncorrected), kJ/mol of formula units: -8
ρ, kg/m3: 4529